Compound: NaSmInSe3
Source: the Open Quantum Materials Database
Functional: GGA-PBE
Structure: optimized geometry

a b c (Å): 4.335 14.247 11.014
angles (deg): 90.00 90.00 90.00
Space group Cmcm (No. 63)
Asymmetric unit:
Na1 0.000 0.243 0.250 x4
Sm1 0.000 0.000 0.000 x4
In1 0.000 0.478 0.750 x4
Se1 0.000 0.098 0.750 x4
Se2 0.000 0.362 0.556 x8

The electronic total energy is -4.238 eV per atom.